Entry 1:
# Pr3SbH3

A relaxed Pr3SbH3 crystal (GGA-PBE, Alexandria).

a = 7.107 Å, b = 7.107 Å, c = 8.232 Å
α = 64.43°, β = 64.43°, γ = 60.00°
Fractional positions:
H: 0.461 0.786 0.624
H: 0.870 0.539 0.376
H: 0.214 0.870 0.376
H: 0.539 0.214 0.376
H: 0.786 0.130 0.624
H: 0.130 0.461 0.624
Pr: 0.568 0.904 0.293
Pr: 0.235 0.568 0.293
Pr: 0.096 0.765 0.707
Pr: 0.904 0.235 0.293
Pr: 0.765 0.432 0.707
Pr: 0.432 0.096 0.707
Sb: 0.334 0.334 0.998
Sb: 0.666 0.666 0.002

Entry 2:
# Pr2SbH

A relaxed Pr2SbH crystal (GGA-PBE, Alexandria).

a = 4.336 Å, b = 7.132 Å, c = 7.132 Å
α = 102.05°, β = 90.00°, γ = 90.00°
Fractional positions:
Sb: 0.500 0.785 0.215
Sb: 0.500 0.215 0.785
Pr: 0.000 0.500 0.000
Pr: 0.000 0.000 0.500
Pr: 0.000 0.000 0.000
Pr: 0.500 0.500 0.500
H: 0.000 0.693 0.693
H: 0.000 0.307 0.307

Entry 3:
# PrSbH2

A relaxed PrSbH2 crystal (GGA-PBE, Alexandria).

a = 3.819 Å, b = 6.581 Å, c = 5.943 Å
α = 90.00°, β = 90.00°, γ = 106.80°
Fractional positions:
Sb: 0.457 0.914 0.750
Sb: 0.543 0.086 0.250
Pr: 0.816 0.633 0.250
Pr: 0.184 0.367 0.750
H: 0.266 0.533 0.425
H: 0.734 0.467 0.575
H: 0.734 0.467 0.925
H: 0.266 0.533 0.075

Entry 4:
# PrSbH

A relaxed PrSbH crystal (GGA-PBE, Alexandria).

a = 4.824 Å, b = 3.959 Å, c = 3.959 Å
α = 120.00°, β = 90.00°, γ = 90.00°
Fractional positions:
Sb: 0.667 0.333 0.667
H: 0.167 0.000 0.000
Pr: 0.167 0.667 0.333

| no. | uncorrected energy (eV per atom) | ΔE to the lowest computed polymorph (eV/atom) |
| --- | --- | --- |
| 1 | -4.733 | 0.0000 |
| 2 | -4.908 | 0.0000 |
| 3 | -4.352 | 0.0000 |
| 4 | -4.793 | 0.0000 |